(1)
DFT (PBE) results for a geometry-optimized Zr3ReAu structure.

Magnetic moment = 0.00 μB/f.u.
Formation energy from the elements = 0.5338 eV/atom
E = -38.70 eV/cell

Unit cell a=5.0460 b=5.0460 c=5.0460 alpha=90.00 beta=90.00 gamma=90.00
Last column: nearest neighbours and their distance in Å.
Atoms (fractional coordinates):
Zr: 0.0000 0.5000 0.0000  2 Re 2.52
Zr: 0.0000 0.0000 0.5000  2 Re 2.52
Zr: 0.5000 0.0000 0.0000  2 Re 2.52
Au: 0.5000 0.5000 0.5000  12 Zr 3.57
Re: 0.0000 0.0000 0.0000  6 Zr 2.52

***

(2)
DFT (PBE) results for a geometry-optimized ThZn11Cr structure.

Magnetic moment = 3.03 μB/f.u.
Formation energy from the elements = -0.0993 eV/atom
E = -32.35 eV/cell

Unit cell a=5.2583 b=6.8724 c=6.8617 alpha=81.54 beta=67.47 gamma=67.42
Last column: nearest neighbours and their distance in Å.
Atoms (fractional coordinates):
Zn: 0.6282 0.3569 0.3512  7 Zn 2.63-2.84, 1 Cr 2.70
Zn: 0.3718 0.6431 0.6488  7 Zn 2.63-2.84, 1 Cr 2.70
Zn: 0.5000 0.0000 0.5000  10 Zn 2.60-2.83
Zn: 0.0206 0.6431 0.3512  7 Zn 2.63-2.84, 1 Cr 2.70
Zn: 0.4982 0.7787 0.2219  8 Zn 2.60-2.84, 1 Cr 2.61
Zn: 0.7202 0.7787 0.7781  8 Zn 2.60-2.84, 1 Cr 2.61
Zn: 0.5018 0.2213 0.7781  8 Zn 2.60-2.84, 1 Cr 2.61
Zn: 0.0000 0.0000 0.5000  10 Zn 2.60-2.83
Zn: 0.2798 0.2213 0.2219  8 Zn 2.60-2.84, 1 Cr 2.61
Zn: 0.9794 0.3569 0.6488  7 Zn 2.63-2.84, 1 Cr 2.70
Zn: 0.0000 0.5000 0.0000  8 Zn 2.62-2.79, 2 Cr 2.63
Th: 0.0000 0.0000 0.0000  18 Zn 3.18-3.44, 2 Cr 3.43
Cr: 0.5000 0.5000 0.0000  10 Zn 2.61-2.70

***

(3)
DFT (PBE) results for a geometry-optimized In2Ge2Br structure.

Magnetic moment = 0.00 μB/f.u.
E = -32.14 eV/cell
Formation energy (no corrections) = 0.06 eV per atom

Unit cell a=8.1899 b=8.1899 c=3.7881 alpha=90.00 beta=90.00 gamma=90.00
Last column: nearest neighbours and their distance in Å.
Atoms (fractional coordinates):
In: 0.1889 0.6889 0.5000  6 Ge 2.98-3.17
In: 0.6889 0.8111 0.5000  6 Ge 2.98-3.17
In: 0.3111 0.1889 0.5000  6 Ge 2.98-3.17
In: 0.8111 0.3111 0.5000  6 Ge 2.98-3.17
Ge: 0.1120 0.3880 0.0000  1 Ge 2.59
Ge: 0.6120 0.1120 0.0000  1 Ge 2.59
Ge: 0.3880 0.8880 0.0000  1 Ge 2.59
Ge: 0.8880 0.6120 0.0000  1 Ge 2.59
Br: 0.5000 0.5000 0.0000  4 Ge 3.31, 8 In 3.53
Br: 0.0000 0.0000 0.0000  4 Ge 3.31, 8 In 3.53

***

(4)
DFT (PBE) results for a geometry-optimized AlCrRh2 structure.

Magnetic moment = 2.97 μB/f.u.
Formation energy from the elements = 0.0632 eV/atom
E = -55.63 eV/cell

Unit cell a=6.6277 b=6.6277 c=5.4508 alpha=52.56 beta=52.56 gamma=90.00
Last column: nearest neighbours and their distance in Å.
Atoms (fractional coordinates):
Al: 0.5000 0.5000 0.0000  4 Rh 2.44
Al: 0.2500 0.7500 0.5000  4 Rh 2.44
Rh: 0.6238 0.1250 0.2500  2 Al 2.44, 2 Cr 2.45
Rh: 0.8750 0.8738 0.7500  2 Al 2.44, 2 Cr 2.45
Rh: 0.3750 0.3762 0.7500  2 Al 2.44, 2 Cr 2.45
Rh: 0.1262 0.6250 0.2500  2 Al 2.44, 2 Cr 2.45
Cr: 0.7500 0.2500 0.5000  4 Rh 2.45
Cr: 0.0000 0.0000 0.0000  4 Rh 2.45

***

(5)
DFT (PBE) results for a geometry-optimized Sm2Ho8Cd structure.

Magnetic moment = 0.00 μB/f.u.
Formation energy from the elements = -0.0093 eV/atom
E = -47.08 eV/cell

Unit cell a=5.5359 b=6.4072 c=10.0332 alpha=85.18 beta=106.01 gamma=90.00
Last column: nearest neighbours and their distance in Å.
Atoms (fractional coordinates):
Ho: 0.5781 0.4008 0.1562  1 Cd 3.09, 3 Ho 3.17-3.34, 1 Sm 3.44
Ho: 0.1528 0.1926 0.3056  5 Ho 3.34-3.61, 4 Sm 3.58-3.65
Ho: 0.4219 0.5992 0.8438  1 Cd 3.09, 3 Ho 3.17-3.34, 1 Sm 3.44
Ho: 0.3407 0.1230 0.6813  1 Cd 3.11, 2 Sm 3.42, 2 Ho 3.42
Ho: 0.0438 0.7358 0.0877  2 Cd 3.32, 4 Ho 3.53-3.65
Ho: 0.9562 0.2642 0.9123  2 Cd 3.32, 4 Ho 3.53-3.65
Ho: 0.6593 0.8770 0.3187  1 Cd 3.11, 2 Sm 3.42, 2 Ho 3.42
Ho: 0.8472 0.8074 0.6944  5 Ho 3.34-3.61, 4 Sm 3.58-3.65
Cd: 0.5000 0.0000 0.0000  8 Ho 3.09-3.32
Sm: 0.7569 0.3320 0.5139  9 Ho 3.42-3.82, 2 Sm 3.50
Sm: 0.2431 0.6680 0.4861  9 Ho 3.42-3.82, 2 Sm 3.50

***

(6)
DFT (PBE) results for a geometry-optimized Dy2MgTl3Se6 structure.

Magnetic moment = 0.00 μB/f.u.
E = -52.47 eV/cell
Formation energy (no corrections) = -1.14 eV per atom

Unit cell a=7.2024 b=7.2024 c=7.8708 alpha=98.78 beta=98.78 gamma=120.04
Last column: nearest neighbours and their distance in Å.
Atoms (fractional coordinates):
Tl: 0.5000 0.5000 0.5000  6 Se 3.25-3.29
Tl: 0.8311 0.1689 0.5000  6 Se 3.24-3.28
Tl: 0.1689 0.8311 0.5000  6 Se 3.24-3.28
Dy: 0.3339 0.6661 0.0000  6 Se 2.87-2.88
Dy: 0.6661 0.3339 0.0000  6 Se 2.87-2.88
Se: 0.9319 0.6051 0.7948  1 Mg 2.81, 2 Dy 2.87-2.88
Se: 0.7423 0.7423 0.2066  1 Mg 2.82, 2 Dy 2.87
Se: 0.3949 0.0681 0.2052  1 Mg 2.81, 2 Dy 2.87-2.88
Se: 0.6051 0.9319 0.7948  1 Mg 2.81, 2 Dy 2.87-2.88
Se: 0.2577 0.2577 0.7934  1 Mg 2.82, 2 Dy 2.87
Se: 0.0681 0.3949 0.2052  1 Mg 2.81, 2 Dy 2.87-2.88
Mg: 0.0000 0.0000 0.0000  6 Se 2.81-2.82

***

(7)
DFT (PBE) results for a geometry-optimized Tb8SmCd2 structure.

Magnetic moment = 0.00 μB/f.u.
Formation energy from the elements = 0.0299 eV/atom
E = -43.26 eV/cell

Unit cell a=5.6236 b=8.7551 c=8.7551 alpha=119.92 beta=101.08 gamma=101.08
Last column: nearest neighbours and their distance in Å.
Atoms (fractional coordinates):
Tb: 0.8850 0.6799 0.9057  2 Cd 3.13-3.37, 2 Tb 3.36-3.42
Tb: 0.5000 0.7794 0.2206  2 Cd 3.09, 1 Sm 3.34
Tb: 0.8850 0.9057 0.6799  2 Cd 3.13-3.37, 2 Tb 3.36-3.42
Tb: 0.7028 0.4020 0.4020  2 Tb 3.12-3.34, 1 Sm 3.26, 2 Cd 3.33
Tb: 0.5000 0.2206 0.7794  2 Cd 3.09, 1 Sm 3.34
Tb: 0.1150 0.0943 0.3201  2 Cd 3.13-3.37, 2 Tb 3.36-3.42
Tb: 0.1150 0.3201 0.0943  2 Cd 3.13-3.37, 2 Tb 3.36-3.42
Tb: 0.2972 0.5980 0.5980  2 Tb 3.12-3.34, 1 Sm 3.26, 2 Cd 3.33
Cd: 0.0000 0.3059 0.6941  8 Tb 3.09-3.37
Cd: 0.0000 0.6941 0.3059  8 Tb 3.09-3.37
Sm: 0.5000 0.0000 0.0000  4 Tb 3.26-3.34

***

(8)
DFT (PBE) results for a geometry-optimized TcPO2 structure.

Magnetic moment = 0.00 μB/f.u.
E = -50.98 eV/cell
Formation energy (no corrections) = 0.05 eV per atom

Unit cell a=5.2381 b=5.2381 c=5.7686 alpha=63.00 beta=63.00 gamma=90.00
Last column: nearest neighbours and their distance in Å.
Atoms (fractional coordinates):
O: 0.8750 0.9678 0.7500  2 Tc 1.90
O: 0.3750 0.2822 0.7500  2 Tc 1.90
O: 0.0322 0.6250 0.2500  2 Tc 1.90
O: 0.7178 0.1250 0.2500  2 Tc 1.90
P: 0.2500 0.7500 0.5000  4 O 2.48
P: 0.5000 0.5000 0.0000  4 O 2.48
Tc: 0.7500 0.2500 0.5000  4 O 1.90
Tc: 0.0000 0.0000 0.0000  4 O 1.90